Entry 1:
Below is an optimized crystal structure of La3Si4Ni7, with properties calculated at the PBE level.

Properties
* formation energy without anion corrections: -0.61 eV per atom

```
data_La3Si4Ni7
_chemical_formula_sum 'La6 Si8 Ni14'
_cell_length_a 14.9646
_cell_length_b 3.9840
_cell_length_c 9.8451
_cell_angle_alpha 90.00
_cell_angle_beta 127.74
_cell_angle_gamma 90.00
_space_group_name_H-M_alt 'C 1 2/m 1'
_space_group_IT_number 12
loop_
_space_group_symop_operation_xyz
'x,y,z'
'-x,-y,-z'
'-x,y,-z'
'x,-y,z'
'x+1/2,y+1/2,z'
'-x+1/2,-y+1/2,-z'
'-x+1/2,y+1/2,-z'
'x+1/2,-y+1/2,z'
loop_
_atom_site_label
_atom_site_type_symbol
_atom_site_fract_x
_atom_site_fract_y
_atom_site_fract_z
La1 La 0.0000 0.0000 0.0000
La2 La 0.1921 0.5000 0.6874
Si1 Si 0.1031 0.0000 0.3853
Si2 Si 0.1764 0.5000 0.9954
Ni1 Ni 0.0000 0.0000 0.5000
Ni2 Ni 0.9998 0.5000 0.2842
Ni3 Ni 0.1241 0.0000 0.8445
Ni4 Ni 0.1975 0.5000 0.3952
```


Entry 2:
Below is an optimized crystal structure of La2Si3Ni, with properties calculated at the PBE level.

Properties
* energy above the lowest structure with this stoichiometry: 123 meV/atom
* formation energy without anion corrections: -0.71 eV per atom

```
data_La2Si3Ni
_chemical_formula_sum 'La2 Si3 Ni1'
_cell_length_a 4.0883
_cell_length_b 4.0883
_cell_length_c 8.7094
_cell_angle_alpha 90.00
_cell_angle_beta 90.00
_cell_angle_gamma 120.00
_space_group_name_H-M_alt 'P -6 m 2'
_space_group_IT_number 187
_space_group_name_Hall 'P -6 2'
loop_
_atom_site_label
_atom_site_type_symbol
_atom_site_fract_x
_atom_site_fract_y
_atom_site_fract_z
La1 La 0.0000 0.0000 0.2443
Si1 Si 0.3333 0.6667 0.0000
Si2 Si 0.3333 0.6667 0.5000
Si3 Si 0.6667 0.3333 0.5000
Ni1 Ni 0.6667 0.3333 0.0000
```


Entry 3:
Below is an optimized crystal structure of LaSi2Ni2, with properties calculated at the PBE level.

Properties
* formation energy without anion corrections: -0.69 eV per atom

```
data_LaSi2Ni2
_chemical_formula_sum 'La2 Si4 Ni4'
_cell_length_a 4.0726
_cell_length_b 4.0726
_cell_length_c 9.8968
_cell_angle_alpha 90.00
_cell_angle_beta 90.00
_cell_angle_gamma 90.00
_space_group_name_H-M_alt 'I 4/m m m'
_space_group_IT_number 139
_space_group_name_Hall '-I 4 2'
loop_
_atom_site_label
_atom_site_type_symbol
_atom_site_fract_x
_atom_site_fract_y
_atom_site_fract_z
La1 La 0.0000 0.0000 0.0000
Si1 Si 0.0000 0.5000 0.2500
Ni1 Ni 0.0000 0.0000 0.3674
```


Entry 4:
Below is an optimized crystal structure of La3Si3Ni2, with properties calculated at the PBE level.

Properties
* energy above the lowest structure with this stoichiometry: 0 meV/atom
* formation energy without anion corrections: -0.72 eV per atom

```
data_La3Si3Ni2
_chemical_formula_sum 'La12 Si12 Ni8'
_cell_length_a 4.1387
_cell_length_b 11.0140
_cell_length_c 15.3771
_cell_angle_alpha 90.00
_cell_angle_beta 90.00
_cell_angle_gamma 90.00
_space_group_name_H-M_alt 'C m c m'
_space_group_IT_number 63
_space_group_name_Hall '-C 2c 2'
loop_
_atom_site_label
_atom_site_type_symbol
_atom_site_fract_x
_atom_site_fract_y
_atom_site_fract_z
La1 La 0.0000 0.0641 0.2500
La2 La 0.0000 0.3530 0.0933
Si1 Si 0.0000 0.0789 0.0536
Si2 Si 0.0000 0.2303 0.7500
Ni1 Ni 0.0000 0.3600 0.6201
```


Entry 5:
Below is an optimized crystal structure of LaSi2Ni3, with properties calculated at the PBE level.

Properties
* formation energy without anion corrections: -0.67 eV per atom

```
data_LaSi2Ni3
_chemical_formula_sum 'La4 Si8 Ni12'
_cell_length_a 14.8479
_cell_length_b 3.8662
_cell_length_c 7.1062
_cell_angle_alpha 90.00
_cell_angle_beta 114.03
_cell_angle_gamma 90.00
_space_group_name_H-M_alt 'C 1 2/m 1'
_space_group_IT_number 12
loop_
_space_group_symop_operation_xyz
'x,y,z'
'-x,-y,-z'
'-x,y,-z'
'x,-y,z'
'x+1/2,y+1/2,z'
'-x+1/2,-y+1/2,-z'
'-x+1/2,y+1/2,-z'
'x+1/2,-y+1/2,z'
loop_
_atom_site_label
_atom_site_type_symbol
_atom_site_fract_x
_atom_site_fract_y
_atom_site_fract_z
La1 La 0.1558 0.0000 0.0709
Si1 Si 0.0206 0.5000 0.1871
Si2 Si 0.1807 0.0000 0.6460
Ni1 Ni 0.0352 0.0000 0.3650
Ni2 Ni 0.0879 0.5000 0.6552
Ni3 Ni 0.1825 0.5000 0.4392
```


Entry 6:
Below is an optimized crystal structure of LaSi3Ni, with properties calculated at the PBE level.

Properties
* formation energy without anion corrections: -0.53 eV per atom

```
data_LaSi3Ni
_chemical_formula_sum 'La2 Si6 Ni2'
_cell_length_a 5.8892
_cell_length_b 5.4514
_cell_length_c 5.7516
_cell_angle_alpha 90.00
_cell_angle_beta 90.00
_cell_angle_gamma 90.00
_space_group_name_H-M_alt 'P m n 21'
_space_group_IT_number 31
loop_
_space_group_symop_operation_xyz
'x,y,z'
'-x+1/2,-y,z+1/2'
'-x,y,z'
'x+1/2,-y,z+1/2'
loop_
_atom_site_label
_atom_site_type_symbol
_atom_site_fract_x
_atom_site_fract_y
_atom_site_fract_z
La1 La 0.0000 0.1462 0.0000
Si1 Si 0.0000 0.9554 0.5096
Si2 Si 0.2084 0.3429 0.5016
Ni1 Ni 0.0000 0.6197 0.2691
```


Entry 7:
Below is an optimized crystal structure of La5SiNi2, with properties calculated at the PBE level.

Properties
* formation energy without anion corrections: -0.36 eV per atom

```
data_La5SiNi2
_chemical_formula_sum 'La20 Si4 Ni8'
_cell_length_a 7.9755
_cell_length_b 7.9755
_cell_length_c 13.2751
_cell_angle_alpha 90.00
_cell_angle_beta 90.00
_cell_angle_gamma 90.00
_space_group_name_H-M_alt 'I 4/m c m'
_space_group_IT_number 140
_space_group_name_Hall '-I 4 2c'
loop_
_atom_site_label
_atom_site_type_symbol
_atom_site_fract_x
_atom_site_fract_y
_atom_site_fract_z
La1 La 0.0000 0.0000 0.0000
La2 La 0.1639 0.3361 0.1425
Si1 Si 0.0000 0.0000 0.2500
Ni1 Ni 0.1217 0.3783 0.5000
```


Entry 8:
Below is an optimized crystal structure of LaSiNi4, with properties calculated at the PBE level.

Properties
* energy above the lowest structure with this stoichiometry: 0 meV/atom
* formation energy without anion corrections: -0.54 eV per atom

```
data_LaSiNi4
_chemical_formula_sum 'La2 Si2 Ni8'
_cell_length_a 5.2384
_cell_length_b 8.3374
_cell_length_c 3.9775
_cell_angle_alpha 90.00
_cell_angle_beta 90.00
_cell_angle_gamma 90.00
_space_group_name_H-M_alt 'C m m m'
_space_group_IT_number 65
_space_group_name_Hall '-C 2 2'
loop_
_atom_site_label
_atom_site_type_symbol
_atom_site_fract_x
_atom_site_fract_y
_atom_site_fract_z
La1 La 0.0000 0.0000 0.0000
Si1 Si 0.0000 0.5000 0.5000
Ni1 Ni 0.0000 0.3434 0.0000
Ni2 Ni 0.2500 0.2500 0.5000
```


no.,final energy (eV per atom)
1,-6.10
2,-6.02
3,-6.15
4,-6.05
5,-6.19
6,-5.93
7,-5.56
8,-6.12